! PBE SrZr2Ta, relaxed; values from VASP
&SYSTEM
  ibrav = 0, nat = 4, ntyp = 3
/
ATOMIC_SPECIES
Sr 87.62 Sr.upf
Ta 180.95 Ta.upf
Zr 91.22 Zr.upf
CELL_PARAMETERS angstrom
-4.216 -1.593 -6.202
-1.803 -6.387 -3.839
0.400 4.333 6.313
ATOMIC_POSITIONS angstrom
Sr -2.699 -3.579 -4.502
Ta -2.127 -2.917 -1.141
Zr -0.530 -0.703 -0.885
Zr -3.273 -0.439 -2.221
! ΔE_f   0.6499 eV/atom
! Energy above the most stable polymorph in this dataset   0.3486 eV per atom
! Symmetry   No. 44

! PBE SrZr2Ta, relaxed; values from VASP
&SYSTEM
  ibrav = 0, nat = 4, ntyp = 3
/
ATOMIC_SPECIES
Sr 87.62 Sr.upf
Ta 180.95 Ta.upf
Zr 91.22 Zr.upf
CELL_PARAMETERS angstrom
5.392 0.003 -0.002
4.483 2.997 -0.002
0.451 0.137 6.603
ATOMIC_POSITIONS angstrom
Sr 5.181 1.574 3.246
Ta 2.666 0.810 1.189
Zr 9.863 2.996 0.082
Zr 7.654 2.325 5.378
! ΔE_f   0.5142 eV/atom
! Energy above the most stable polymorph in this dataset   0.2128 eV per atom
! Symmetry   No. 8

! PBE SrZrTa3, relaxed; values from VASP
&SYSTEM
  ibrav = 0, nat = 5, ntyp = 3
/
ATOMIC_SPECIES
Sr 87.62 Sr.upf
Zr 91.22 Zr.upf
Ta 180.95 Ta.upf
CELL_PARAMETERS angstrom
-1.542 3.506 -3.352
-3.784 -3.070 -1.470
-3.035 2.047 3.537
ATOMIC_POSITIONS angstrom
Sr -4.181 1.241 -0.643
Zr 0.000 0.000 0.000
Ta -1.892 -1.535 -0.735
Ta -1.517 1.023 1.769
Ta -0.771 1.753 -1.676
! ΔE_f   1.5849 eV/atom
! Energy above the most stable polymorph in this dataset   0.0000 eV per atom
! Symmetry   No. 221

! PBE SrZrTa, relaxed; values from VASP
&SYSTEM
  ibrav = 0, nat = 3, ntyp = 3
/
ATOMIC_SPECIES
Sr 87.62 Sr.upf
Ta 180.95 Ta.upf
Zr 91.22 Zr.upf
CELL_PARAMETERS angstrom
5.446 0.000 0.000
-2.723 4.716 0.000
0.000 0.000 2.854
ATOMIC_POSITIONS angstrom
Sr 0.000 0.000 2.376
Ta 2.723 1.572 0.952
Zr 0.000 3.144 2.381
! ΔE_f   0.8046 eV/atom
! Energy above the most stable polymorph in this dataset   0.2010 eV per atom
! Symmetry   No. 187

Respective N(E_F) values: 5.5 4.0 8.1 2.4 states/eV/cell.